Ba2TlInH | PBE-GGA | optimized geometry

For the total energy, the calculation gives -2.782 eV/atom. The calculation puts the energy above the most stable polymorph in this dataset at 0.0 meV/atom. The total magnetization is 0.0 μB/cell.

Geometry as CIF:
```
data_Ba2TlInH
_cell_length_a 5.7875
_cell_length_b 5.7875
_cell_length_c 4.6410
_cell_angle_alpha 90.00
_cell_angle_beta 90.00
_cell_angle_gamma 90.00
_space_group_name_H-M_alt 'P 4/m m m'
_space_group_IT_number 123
_space_group_name_Hall '-P 4 2'
loop_
_atom_site_label
_atom_site_type_symbol
_atom_site_fract_x
_atom_site_fract_y
_atom_site_fract_z
_atom_site_occupancy
Ba1 Ba 0.0000 0.5000 0.0000 1
Tl1 Tl 0.0000 0.0000 0.5000 1
In1 In 0.5000 0.5000 0.5000 1
H1 H 0.5000 0.5000 0.0000 1
```

=====

Cs7K3P | PBE-GGA | optimized geometry

For the total energy, the calculation gives -1.394 eV/atom. The total magnetization is 0.0 μB/cell. As for the formation energy: -0.0597 eV/atom.

Geometry as CIF:
```
data_Cs7K3P
_cell_length_a 12.2448
_cell_length_b 13.8142
_cell_length_c 13.3069
_cell_angle_alpha 90.00
_cell_angle_beta 117.10
_cell_angle_gamma 90.00
_space_group_name_H-M_alt 'C 1 m 1'
_space_group_IT_number 8
loop_
_space_group_symop_operation_xyz
'x,y,z'
'x,-y,z'
'x+1/2,y+1/2,z'
'x+1/2,-y+1/2,z'
loop_
_atom_site_label
_atom_site_type_symbol
_atom_site_fract_x
_atom_site_fract_y
_atom_site_fract_z
_atom_site_occupancy
Cs1 Cs 0.0000 0.0000 0.0000 1
Cs2 Cs 0.0160 0.5000 0.6734 1
Cs3 Cs 0.1039 0.5000 0.1219 1
Cs4 Cs 0.2350 0.1703 0.8513 1
Cs5 Cs 0.3596 0.1734 0.2551 1
K1 K 0.0725 0.0000 0.4358 1
K2 K 0.2998 0.3319 0.5496 1
P1 P 0.3003 0.0000 0.0548 1
```

=====

Nd3Ho2Tm6 | PBE-GGA | optimized geometry

For the total energy, the calculation gives -4.294 eV/atom. The calculation puts the energy above the most stable polymorph in this dataset at 69.3 meV/atom. The total magnetization is 0.0 μB/cell. As for the formation energy: 0.2773 eV/atom.

Geometry as CIF:
```
data_Nd3Ho2Tm6
_cell_length_a 4.7216
_cell_length_b 4.7216
_cell_length_c 33.0658
_cell_angle_alpha 90.00
_cell_angle_beta 90.00
_cell_angle_gamma 90.00
_space_group_name_H-M_alt 'I 4/m m m'
_space_group_IT_number 139
_space_group_name_Hall '-I 4 2'
loop_
_atom_site_label
_atom_site_type_symbol
_atom_site_fract_x
_atom_site_fract_y
_atom_site_fract_z
_atom_site_occupancy
Nd1 Nd 0.0000 0.0000 0.0000 1
Nd2 Nd 0.0000 0.0000 0.2047 1
Ho1 Ho 0.0000 0.0000 0.4535 1
Tm1 Tm 0.0000 0.0000 0.3085 1
Tm2 Tm 0.0000 0.5000 0.1207 1
```

=====

CaPPb2 | PBE-GGA | optimized geometry

For the total energy, the calculation gives -3.880 eV/atom. The total magnetization is 0.0 μB/cell. As for the formation energy: -0.1728 eV/atom.

Geometry as CIF:
```
data_CaPPb2
_cell_length_a 4.7485
_cell_length_b 4.7485
_cell_length_c 9.2817
_cell_angle_alpha 90.00
_cell_angle_beta 90.00
_cell_angle_gamma 90.00
_space_group_name_H-M_alt 'I -4 m 2'
_space_group_IT_number 119
_space_group_name_Hall 'I -4 -2'
loop_
_atom_site_label
_atom_site_type_symbol
_atom_site_fract_x
_atom_site_fract_y
_atom_site_fract_z
_atom_site_occupancy
Ca1 Ca 0.0000 0.0000 0.0000 1
P1 P 0.0000 0.5000 0.7500 1
Pb1 Pb 0.0000 0.0000 0.5000 1
Pb2 Pb 0.0000 0.5000 0.2500 1
```

=====

LuAlSn | PBE-GGA | optimized geometry

For the total energy, the calculation gives -4.380 eV/atom. The total magnetization is 0.0 μB/cell. As for the formation energy: -0.2910 eV/atom.

Geometry as CIF:
```
data_LuAlSn
_cell_length_a 4.5027
_cell_length_b 4.5027
_cell_length_c 3.9754
_cell_angle_alpha 90.00
_cell_angle_beta 90.00
_cell_angle_gamma 120.00
_space_group_name_H-M_alt 'P 3 m 1'
_space_group_IT_number 156
loop_
_space_group_symop_operation_xyz
'x,y,z'
'-y,x-y,z'
'-x+y,-x,z'
'-y,-x,z'
'-x+y,y,z'
'x,x-y,z'
loop_
_atom_site_label
_atom_site_type_symbol
_atom_site_fract_x
_atom_site_fract_y
_atom_site_fract_z
_atom_site_occupancy
Lu1 Lu 0.0000 0.0000 0.0000 1
Al1 Al 0.6667 0.3333 0.5790 1
Sn1 Sn 0.3333 0.6667 0.4534 1
```

=====

ZrRePbO6 | PBE-GGA | optimized geometry

For the total energy, the calculation gives -7.965 eV/atom. The formation energy (no corrections) comes out at -1.914 eV per atom. The total magnetization is 1.6 μB/cell.

Geometry as CIF:
```
data_ZrRePbO6
_cell_length_a 7.2733
_cell_length_b 7.6440
_cell_length_c 11.0322
_cell_angle_alpha 90.00
_cell_angle_beta 90.00
_cell_angle_gamma 90.00
_space_group_name_H-M_alt 'I m m a'
_space_group_IT_number 74
_space_group_name_Hall '-I 2b 2'
loop_
_atom_site_label
_atom_site_type_symbol
_atom_site_fract_x
_atom_site_fract_y
_atom_site_fract_z
_atom_site_occupancy
Zr1 Zr 0.0000 0.0000 0.0000 1
Re1 Re 0.2500 0.2500 0.2500 1
Pb1 Pb 0.0000 0.2500 0.7260 1
O1 O 0.0000 0.2500 0.3003 1
O2 O 0.0000 0.2500 0.9269 1
O3 O 0.1933 0.0719 0.1353 1
```

=====

V3ZnW | PBE-GGA | optimized geometry

For the total energy, the calculation gives -6.945 eV/atom. The calculation puts the energy above the most stable polymorph in this dataset at 0.0 meV/atom. The total magnetization is 0.0 μB/cell. As for the formation energy: 1.3717 eV/atom.

Geometry as CIF:
```
data_V3ZnW
_cell_length_a 4.5907
_cell_length_b 4.5907
_cell_length_c 4.5907
_cell_angle_alpha 90.00
_cell_angle_beta 90.00
_cell_angle_gamma 90.00
_space_group_name_H-M_alt 'P m -3 m'
_space_group_IT_number 221
_space_group_name_Hall '-P 4 2 3'
loop_
_atom_site_label
_atom_site_type_symbol
_atom_site_fract_x
_atom_site_fract_y
_atom_site_fract_z
_atom_site_occupancy
V1 V 0.0000 0.0000 0.5000 1
Zn1 Zn 0.5000 0.5000 0.5000 1
W1 W 0.0000 0.0000 0.0000 1
```

=====

SrYP2O | PBE-GGA | optimized geometry

For the total energy, the calculation gives -5.696 eV/atom. The formation energy (no corrections) comes out at -0.912 eV per atom. The calculation puts the energy above the most stable polymorph in this dataset at 0.0 meV/atom. The total magnetization is 2.2 μB/cell.

Geometry as CIF:
```
data_SrYP2O
_cell_length_a 5.4485
_cell_length_b 5.4485
_cell_length_c 4.3166
_cell_angle_alpha 90.00
_cell_angle_beta 90.00
_cell_angle_gamma 90.00
_space_group_name_H-M_alt 'P 4/m m m'
_space_group_IT_number 123
_space_group_name_Hall '-P 4 2'
loop_
_atom_site_label
_atom_site_type_symbol
_atom_site_fract_x
_atom_site_fract_y
_atom_site_fract_z
_atom_site_occupancy
Sr1 Sr 0.0000 0.0000 0.0000 1
Y1 Y 0.5000 0.5000 0.5000 1
P1 P 0.0000 0.5000 0.5000 1
O1 O 0.5000 0.5000 0.0000 1
```

=====

AcZnPt | PBE-GGA | optimized geometry

For the total energy, the calculation gives -4.633 eV/atom. The calculation puts the energy above the most stable polymorph in this dataset at 39.6 meV/atom. The total magnetization is 0.0 μB/cell. As for the formation energy: -0.8254 eV/atom.

Geometry as CIF:
```
data_AcZnPt
_cell_length_a 11.0462
_cell_length_b 4.2716
_cell_length_c 7.5383
_cell_angle_alpha 90.00
_cell_angle_beta 125.57
_cell_angle_gamma 90.00
_space_group_name_H-M_alt 'C 1 2/m 1'
_space_group_IT_number 12
loop_
_space_group_symop_operation_xyz
'x,y,z'
'-x,-y,-z'
'-x,y,-z'
'x,-y,z'
'x+1/2,y+1/2,z'
'-x+1/2,-y+1/2,-z'
'-x+1/2,y+1/2,-z'
'x+1/2,-y+1/2,z'
loop_
_atom_site_label
_atom_site_type_symbol
_atom_site_fract_x
_atom_site_fract_y
_atom_site_fract_z
_atom_site_occupancy
Ac1 Ac 0.0572 0.0000 0.3047 1
Zn1 Zn 0.1912 0.5000 0.0856 1
Pt1 Pt 0.1594 0.5000 0.6907 1
```

=====

NaZrN3 | PBE-GGA | optimized geometry

For the total energy, the calculation gives -6.511 eV/atom. The formation energy (no corrections) comes out at 0.458 eV per atom. The total magnetization is 3.8 μB/cell.

Geometry as CIF:
```
data_NaZrN3
_cell_length_a 4.2875
_cell_length_b 4.2875
_cell_length_c 4.2875
_cell_angle_alpha 90.00
_cell_angle_beta 90.00
_cell_angle_gamma 90.00
_space_group_name_H-M_alt 'P m -3 m'
_space_group_IT_number 221
_space_group_name_Hall '-P 4 2 3'
loop_
_atom_site_label
_atom_site_type_symbol
_atom_site_fract_x
_atom_site_fract_y
_atom_site_fract_z
_atom_site_occupancy
Na1 Na 0.0000 0.0000 0.0000 1
Zr1 Zr 0.5000 0.5000 0.5000 1
N1 N 0.0000 0.5000 0.5000 1
```

=====

ReTeSCl2 | PBE-GGA | optimized geometry

For the total energy, the calculation gives -4.298 eV/atom. The formation energy (no corrections) comes out at 0.384 eV per atom. The calculation puts the energy above the most stable polymorph in this dataset at 0.0 meV/atom. The total magnetization is 0.0 μB/cell.

Geometry as CIF:
```
data_ReTeSCl2
_cell_length_a 4.8345
_cell_length_b 4.8345
_cell_length_c 4.6092
_cell_angle_alpha 90.00
_cell_angle_beta 90.00
_cell_angle_gamma 90.00
_space_group_name_H-M_alt 'P 4/m m m'
_space_group_IT_number 123
_space_group_name_Hall '-P 4 2'
loop_
_atom_site_label
_atom_site_type_symbol
_atom_site_fract_x
_atom_site_fract_y
_atom_site_fract_z
_atom_site_occupancy
Re1 Re 0.0000 0.0000 0.0000 1
Te1 Te 0.5000 0.5000 0.5000 1
S1 S 0.0000 0.0000 0.5000 1
Cl1 Cl 0.0000 0.5000 0.0000 1
```

=====

Pm2Pr2Te2S3 | PBE-GGA | optimized geometry

For the total energy, the calculation gives -5.767 eV/atom. The formation energy (no corrections) comes out at -1.576 eV per atom. The total magnetization is 0.0 μB/cell.

Geometry as CIF:
```
data_Pm2Pr2Te2S3
_cell_length_a 5.5306
_cell_length_b 5.5306
_cell_length_c 16.2372
_cell_angle_alpha 90.00
_cell_angle_beta 90.00
_cell_angle_gamma 90.00
_space_group_name_H-M_alt 'I 4/m m m'
_space_group_IT_number 139
_space_group_name_Hall '-I 4 2'
loop_
_atom_site_label
_atom_site_type_symbol
_atom_site_fract_x
_atom_site_fract_y
_atom_site_fract_z
_atom_site_occupancy
Pm1 Pm 0.0000 0.5000 0.0000 1
Pr1 Pr 0.0000 0.0000 0.1950 1
Te1 Te 0.0000 0.0000 0.3928 1
S1 S 0.0000 0.0000 0.0000 1
S2 S 0.0000 0.5000 0.2500 1
```

=====

Copy entry 1 word for word.
Ba2TlInH | PBE-GGA | optimized geometry

For the total energy, the calculation gives -2.782 eV/atom. The calculation puts the energy above the most stable polymorph in this dataset at 0.0 meV/atom. The total magnetization is 0.0 μB/cell.

Geometry as CIF:
```
data_Ba2TlInH
_cell_length_a 5.7875
_cell_length_b 5.7875
_cell_length_c 4.6410
_cell_angle_alpha 90.00
_cell_angle_beta 90.00
_cell_angle_gamma 90.00
_space_group_name_H-M_alt 'P 4/m m m'
_space_group_IT_number 123
_space_group_name_Hall '-P 4 2'
loop_
_atom_site_label
_atom_site_type_symbol
_atom_site_fract_x
_atom_site_fract_y
_atom_site_fract_z
_atom_site_occupancy
Ba1 Ba 0.0000 0.5000 0.0000 1
Tl1 Tl 0.0000 0.0000 0.5000 1
In1 In 0.5000 0.5000 0.5000 1
H1 H 0.5000 0.5000 0.0000 1
```

=====

Q: Among the records above, which one has the highest total energy?
A: Cs7K3P

=====

Please write out number 5 again, unchanged.
LuAlSn | PBE-GGA | optimized geometry

For the total energy, the calculation gives -4.380 eV/atom. The total magnetization is 0.0 μB/cell. As for the formation energy: -0.2910 eV/atom.

Geometry as CIF:
```
data_LuAlSn
_cell_length_a 4.5027
_cell_length_b 4.5027
_cell_length_c 3.9754
_cell_angle_alpha 90.00
_cell_angle_beta 90.00
_cell_angle_gamma 120.00
_space_group_name_H-M_alt 'P 3 m 1'
_space_group_IT_number 156
loop_
_space_group_symop_operation_xyz
'x,y,z'
'-y,x-y,z'
'-x+y,-x,z'
'-y,-x,z'
'-x+y,y,z'
'x,x-y,z'
loop_
_atom_site_label
_atom_site_type_symbol
_atom_site_fract_x
_atom_site_fract_y
_atom_site_fract_z
_atom_site_occupancy
Lu1 Lu 0.0000 0.0000 0.0000 1
Al1 Al 0.6667 0.3333 0.5790 1
Sn1 Sn 0.3333 0.6667 0.4534 1
```